! CrSiPS2 (PBE, relaxed); values from VASP
! **ΔE to the lowest computed polymorph**: 0 meV per atom
! **Formation energy from raw total energies**: 0.511 eV per atom
! **Volume**: 18.50 Å³ per atom
! **Total magnetic moment**: 1.9 Bohr magnetons per cell
&SYSTEM
  ibrav = 0, nat = 5, ntyp = 4
/
ATOMIC_SPECIES
S 32.06 S.upf
Si 28.09 Si.upf
Cr 52.00 Cr.upf
P 30.97 P.upf
CELL_PARAMETERS angstrom
4.533 0.000 0.000
0.000 4.533 0.000
0.000 0.000 4.501
ATOMIC_POSITIONS crystal
S 0.500 0.000 0.000
Si 0.500 0.500 0.500
Cr 0.000 0.000 0.000
P 0.000 0.000 0.500
S 0.000 0.500 0.000